[1]
Entry from the Alexandria database: crystalline GaCu6Si at its relaxed geometry (GGA-PBE).

Lattice parameters (Å, degrees): 6.890 5.037 6.624 90.00 106.66 90.00
Space group C2/m (No. 12)
Symmetry-distinct sites (fractional):
Ga1 0.000 0.000 0.000 (multiplicity 2)
Cu1 0.132 0.500 0.918 (multiplicity 4)
Cu2 0.197 0.257 0.307 (multiplicity 8)
Si1 0.000 0.500 0.500 (multiplicity 2)

For the energy above the most stable polymorph in this dataset, the calculation gives 9.92 kJ/mol of atoms. As for the uncorrected formation energy: 32 meV per atom.

=====

[2]
Entry from the Alexandria database: crystalline GaCu2Si at its relaxed geometry (GGA-PBE).

Lattice parameters (Å, degrees): 7.004 7.004 5.015 90.00 90.00 90.00
Space group I-42d (No. 122)
Symmetry-distinct sites (fractional):
Ga1 0.000 0.000 0.000 (multiplicity 4)
Cu1 0.216 0.250 0.625 (multiplicity 8)
Si1 0.000 0.000 0.500 (multiplicity 4)

For the energy above the most stable polymorph in this dataset, the calculation gives 23.09 kJ/mol of atoms. As for the uncorrected formation energy: 287 meV per atom.

=====

Repeat the first record exactly.
Entry from the Alexandria database: crystalline GaCu6Si at its relaxed geometry (GGA-PBE).

Lattice parameters (Å, degrees): 6.890 5.037 6.624 90.00 106.66 90.00
Space group C2/m (No. 12)
Symmetry-distinct sites (fractional):
Ga1 0.000 0.000 0.000 (multiplicity 2)
Cu1 0.132 0.500 0.918 (multiplicity 4)
Cu2 0.197 0.257 0.307 (multiplicity 8)
Si1 0.000 0.500 0.500 (multiplicity 2)

For the energy above the most stable polymorph in this dataset, the calculation gives 9.92 kJ/mol of atoms. As for the uncorrected formation energy: 32 meV per atom.